Density functional theory data (PBE) for a geometry-optimized SrTeAu2 structure.

abc: 4.6212 4.3008 5.9168
angles: 90.31 90.00 90.00
With the nearest neighbours (Å) after each atom.
Positions (direct):
Au1 0.0000 0.9992 0.0194  2 Au 2.73, 2 Te 2.86
Au2 0.5000 0.9990 0.2665  2 Au 2.73, 1 Te 2.77
Sr1 0.0000 0.5003 0.4787  6 Au 3.40-3.47, 4 Te 3.50-3.51
Te1 0.5000 0.0014 0.7354  3 Au 2.77-2.86

## Properties
E_form (uncorrected)	-14.64	kcal/mol of atoms
size of the total moment	0.00	μB/f.u.
volume	118	Å³ per cell